Arrangement one

Computed, not measured: a geometry-optimized LiAs2CSe structure at the GGA-PBE level of DFT.

The structure in CIF format:
```
data_LiAs2CSe
_symmetry_space_group_name_H-M 'P 4/m m m'
_symmetry_Int_Tables_number 123
_symmetry_space_group_name_Hall '-P 4 2'
_cell_length_a 4.3771
_cell_length_b 4.3771
_cell_length_c 4.5297
_cell_angle_alpha 90.00
_cell_angle_beta 90.00
_cell_angle_gamma 90.00
loop_
_atom_site_label
_atom_site_type_symbol
_atom_site_fract_x
_atom_site_fract_y
_atom_site_fract_z
Li1 Li 0.0000 0.0000 0.0000
As1 As 0.0000 0.5000 0.5000
C1 C 0.5000 0.5000 0.5000
Se1 Se 0.5000 0.5000 0.0000
```

Arrangement two

Computed, not measured: a geometry-optimized LiAs2CSe structure at the GGA-PBE level of DFT.

The structure in CIF format:
```
data_LiAs2CSe
_symmetry_space_group_name_H-M 'P 4/m m m'
_symmetry_Int_Tables_number 123
_symmetry_space_group_name_Hall '-P 4 2'
_cell_length_a 4.4345
_cell_length_b 4.4345
_cell_length_c 4.5815
_cell_angle_alpha 90.00
_cell_angle_beta 90.00
_cell_angle_gamma 90.00
loop_
_atom_site_label
_atom_site_type_symbol
_atom_site_fract_x
_atom_site_fract_y
_atom_site_fract_z
Li1 Li 0.0000 0.0000 0.0000
As1 As 0.0000 0.5000 0.0000
C1 C 0.5000 0.5000 0.5000
Se1 Se 0.0000 0.0000 0.5000
```

Stability, highest: arrangement one

Arrangement one

Computed, not measured: a geometry-optimized MgAs2PdC structure at the GGA-PBE level of DFT.

The structure in CIF format:
```
data_MgAs2PdC
_symmetry_space_group_name_H-M 'P 4/m m m'
_symmetry_Int_Tables_number 123
_symmetry_space_group_name_Hall '-P 4 2'
_cell_length_a 4.8718
_cell_length_b 4.8718
_cell_length_c 4.7264
_cell_angle_alpha 90.00
_cell_angle_beta 90.00
_cell_angle_gamma 90.00
loop_
_atom_site_label
_atom_site_type_symbol
_atom_site_fract_x
_atom_site_fract_y
_atom_site_fract_z
Mg1 Mg 0.0000 0.0000 0.0000
As1 As 0.0000 0.5000 0.0000
Pd1 Pd 0.0000 0.0000 0.5000
C1 C 0.5000 0.5000 0.5000
```

Arrangement two

Computed, not measured: a geometry-optimized MgAs2PdC structure at the GGA-PBE level of DFT.

The structure in CIF format:
```
data_MgAs2PdC
_symmetry_space_group_name_H-M 'P 4/m m m'
_symmetry_Int_Tables_number 123
_symmetry_space_group_name_Hall '-P 4 2'
_cell_length_a 5.1680
_cell_length_b 5.1680
_cell_length_c 3.7566
_cell_angle_alpha 90.00
_cell_angle_beta 90.00
_cell_angle_gamma 90.00
loop_
_atom_site_label
_atom_site_type_symbol
_atom_site_fract_x
_atom_site_fract_y
_atom_site_fract_z
Mg1 Mg 0.0000 0.0000 0.0000
As1 As 0.0000 0.5000 0.5000
Pd1 Pd 0.5000 0.5000 0.5000
C1 C 0.5000 0.5000 0.0000
```

Stability, highest: arrangement two

Arrangement one

Computed, not measured: a geometry-optimized MgAs2CSe structure at the GGA-PBE level of DFT.

The structure in CIF format:
```
data_MgAs2CSe
_symmetry_space_group_name_H-M 'P 4/m m m'
_symmetry_Int_Tables_number 123
_symmetry_space_group_name_Hall '-P 4 2'
_cell_length_a 4.4131
_cell_length_b 4.4131
_cell_length_c 4.5125
_cell_angle_alpha 90.00
_cell_angle_beta 90.00
_cell_angle_gamma 90.00
loop_
_atom_site_label
_atom_site_type_symbol
_atom_site_fract_x
_atom_site_fract_y
_atom_site_fract_z
Mg1 Mg 0.0000 0.0000 0.0000
As1 As 0.0000 0.5000 0.5000
C1 C 0.5000 0.5000 0.5000
Se1 Se 0.5000 0.5000 0.0000
```

Arrangement two

Computed, not measured: a geometry-optimized MgAs2CSe structure at the GGA-PBE level of DFT.

The structure in CIF format:
```
data_MgAs2CSe
_symmetry_space_group_name_H-M 'P 4/m m m'
_symmetry_Int_Tables_number 123
_symmetry_space_group_name_Hall '-P 4 2'
_cell_length_a 4.9948
_cell_length_b 4.9948
_cell_length_c 4.9043
_cell_angle_alpha 90.00
_cell_angle_beta 90.00
_cell_angle_gamma 90.00
loop_
_atom_site_label
_atom_site_type_symbol
_atom_site_fract_x
_atom_site_fract_y
_atom_site_fract_z
Mg1 Mg 0.0000 0.0000 0.0000
As1 As 0.0000 0.5000 0.0000
C1 C 0.5000 0.5000 0.5000
Se1 Se 0.0000 0.0000 0.5000
```

Stability, highest: arrangement one

Arrangement one

Computed, not measured: a geometry-optimized MgAsCSe2 structure at the GGA-PBE level of DFT.

The structure in CIF format:
```
data_MgAsCSe2
_symmetry_space_group_name_H-M 'P 4/m m m'
_symmetry_Int_Tables_number 123
_symmetry_space_group_name_Hall '-P 4 2'
_cell_length_a 4.9875
_cell_length_b 4.9875
_cell_length_c 5.0103
_cell_angle_alpha 90.00
_cell_angle_beta 90.00
_cell_angle_gamma 90.00
loop_
_atom_site_label
_atom_site_type_symbol
_atom_site_fract_x
_atom_site_fract_y
_atom_site_fract_z
Mg1 Mg 0.0000 0.0000 0.0000
As1 As 0.0000 0.0000 0.5000
C1 C 0.5000 0.5000 0.5000
Se1 Se 0.0000 0.5000 0.0000
```

Arrangement two

Computed, not measured: a geometry-optimized MgAsCSe2 structure at the GGA-PBE level of DFT.

The structure in CIF format:
```
data_MgAsCSe2
_symmetry_space_group_name_H-M 'P 4/m m m'
_symmetry_Int_Tables_number 123
_symmetry_space_group_name_Hall '-P 4 2'
_cell_length_a 4.7086
_cell_length_b 4.7086
_cell_length_c 4.0859
_cell_angle_alpha 90.00
_cell_angle_beta 90.00
_cell_angle_gamma 90.00
loop_
_atom_site_label
_atom_site_type_symbol
_atom_site_fract_x
_atom_site_fract_y
_atom_site_fract_z
Mg1 Mg 0.0000 0.0000 0.0000
As1 As 0.5000 0.5000 0.0000
C1 C 0.5000 0.5000 0.5000
Se1 Se 0.0000 0.5000 0.5000
```

Stability, highest: arrangement two

Arrangement one

Computed, not measured: a geometry-optimized MnAs3C structure at the GGA-PBE level of DFT.

The structure in CIF format:
```
data_MnAs3C
_symmetry_space_group_name_H-M 'P m -3 m'
_symmetry_Int_Tables_number 221
_symmetry_space_group_name_Hall '-P 4 2 3'
_cell_length_a 4.5093
_cell_length_b 4.5093
_cell_length_c 4.5093
_cell_angle_alpha 90.00
_cell_angle_beta 90.00
_cell_angle_gamma 90.00
loop_
_atom_site_label
_atom_site_type_symbol
_atom_site_fract_x
_atom_site_fract_y
_atom_site_fract_z
Mn1 Mn 0.0000 0.0000 0.0000
As1 As 0.0000 0.0000 0.5000
C1 C 0.5000 0.5000 0.5000
```

Arrangement two

Computed, not measured: a geometry-optimized MnAs3C structure at the GGA-PBE level of DFT.

The structure in CIF format:
```
data_MnAs3C
_symmetry_space_group_name_H-M 'P m -3 m'
_symmetry_Int_Tables_number 221
_symmetry_space_group_name_Hall '-P 4 2 3'
_cell_length_a 4.2277
_cell_length_b 4.2277
_cell_length_c 4.2277
_cell_angle_alpha 90.00
_cell_angle_beta 90.00
_cell_angle_gamma 90.00
loop_
_atom_site_label
_atom_site_type_symbol
_atom_site_fract_x
_atom_site_fract_y
_atom_site_fract_z
Mn1 Mn 0.0000 0.0000 0.0000
As1 As 0.0000 0.5000 0.5000
C1 C 0.5000 0.5000 0.5000
```

Stability, highest: arrangement two

Arrangement one

Computed, not measured: a geometry-optimized MoAs3C structure at the GGA-PBE level of DFT.

The structure in CIF format:
```
data_MoAs3C
_symmetry_space_group_name_H-M 'P m -3 m'
_symmetry_Int_Tables_number 221
_symmetry_space_group_name_Hall '-P 4 2 3'
_cell_length_a 4.8507
_cell_length_b 4.8507
_cell_length_c 4.8507
_cell_angle_alpha 90.00
_cell_angle_beta 90.00
_cell_angle_gamma 90.00
loop_
_atom_site_label
_atom_site_type_symbol
_atom_site_fract_x
_atom_site_fract_y
_atom_site_fract_z
Mo1 Mo 0.0000 0.0000 0.0000
As1 As 0.0000 0.0000 0.5000
C1 C 0.5000 0.5000 0.5000
```

Arrangement two

Computed, not measured: a geometry-optimized MoAs3C structure at the GGA-PBE level of DFT.

The structure in CIF format:
```
data_MoAs3C
_symmetry_space_group_name_H-M 'P m -3 m'
_symmetry_Int_Tables_number 221
_symmetry_space_group_name_Hall '-P 4 2 3'
_cell_length_a 4.2843
_cell_length_b 4.2843
_cell_length_c 4.2843
_cell_angle_alpha 90.00
_cell_angle_beta 90.00
_cell_angle_gamma 90.00
loop_
_atom_site_label
_atom_site_type_symbol
_atom_site_fract_x
_atom_site_fract_y
_atom_site_fract_z
Mo1 Mo 0.0000 0.0000 0.0000
As1 As 0.0000 0.5000 0.5000
C1 C 0.5000 0.5000 0.5000
```

Stability, highest: arrangement two

Arrangement one

Computed, not measured: a geometry-optimized MoAs2CSe structure at the GGA-PBE level of DFT.

The structure in CIF format:
```
data_MoAs2CSe
_symmetry_space_group_name_H-M 'P 4/m m m'
_symmetry_Int_Tables_number 123
_symmetry_space_group_name_Hall '-P 4 2'
_cell_length_a 4.2765
_cell_length_b 4.2765
_cell_length_c 4.3215
_cell_angle_alpha 90.00
_cell_angle_beta 90.00
_cell_angle_gamma 90.00
loop_
_atom_site_label
_atom_site_type_symbol
_atom_site_fract_x
_atom_site_fract_y
_atom_site_fract_z
Mo1 Mo 0.0000 0.0000 0.0000
As1 As 0.0000 0.5000 0.5000
C1 C 0.5000 0.5000 0.5000
Se1 Se 0.5000 0.5000 0.0000
```

Arrangement two

Computed, not measured: a geometry-optimized MoAs2CSe structure at the GGA-PBE level of DFT.

The structure in CIF format:
```
data_MoAs2CSe
_symmetry_space_group_name_H-M 'P 4/m m m'
_symmetry_Int_Tables_number 123
_symmetry_space_group_name_Hall '-P 4 2'
_cell_length_a 4.9039
_cell_length_b 4.9039
_cell_length_c 4.8070
_cell_angle_alpha 90.00
_cell_angle_beta 90.00
_cell_angle_gamma 90.00
loop_
_atom_site_label
_atom_site_type_symbol
_atom_site_fract_x
_atom_site_fract_y
_atom_site_fract_z
Mo1 Mo 0.0000 0.0000 0.0000
As1 As 0.0000 0.5000 0.0000
C1 C 0.5000 0.5000 0.5000
Se1 Se 0.0000 0.0000 0.5000
```

Stability, highest: arrangement one